No. 1
The following is a SCAN calculation of a crystal of MgTl2W relaxed with PBEsol, from the Alexandria database.

a b c (Å): 4.0186 4.1134 9.5345
angles (deg): 90.00 90.00 90.00
Closest atoms and distances in Å follow each position.
Sites, in units of the cell vectors:
Mg (0.0000, 0.0000, 0.0000)  8 Tl 2.88-3.14, 4 W 3.11-3.16
Mg (0.5000, 0.5000, 0.5000)  8 Tl 2.88-3.14, 4 W 3.11-3.16
Tl (0.0000, 0.0000, 0.5026)  4 Mg 2.88, 4 W 3.11-3.16, 4 Tl 3.13-3.14
Tl (0.0000, 0.5000, 0.7514)  4 W 2.88, 4 Tl 3.13-3.14, 4 Mg 3.13-3.14
Tl (0.5000, 0.0000, 0.2514)  4 W 2.88, 4 Tl 3.13-3.14, 4 Mg 3.13-3.14
Tl (0.5000, 0.5000, 0.0026)  4 Mg 2.88, 4 W 3.11-3.16, 4 Tl 3.13-3.14
W (0.0000, 0.5000, 0.2514)  8 Tl 2.88-3.16, 4 Mg 3.11-3.16
W (0.5000, 0.0000, 0.7514)  8 Tl 2.88-3.16, 4 Mg 3.11-3.16

Summary:
density	13.0	Mg/m³
V	158	Å³/cell
energy relative to the elements	678	meV/atom
DFT total energy	-433.33	eV/cell
polymorph energy (0 for the lowest one)	53.8	meV per atom
total moment	0.00	μB/cell
D(E_F)	0.08	states/eV per atom
symmetry	No. 44

=====

No. 2
The following is a SCAN calculation of a crystal of YMg2Tl relaxed with PBEsol, from the Alexandria database.

a b c (Å): 4.4743 4.4743 4.7726
angles (deg): 90.00 90.00 90.00
Closest atoms and distances in Å follow each position.
Sites, in units of the cell vectors:
Y (0.0000, 0.0000, 0.0000)  4 Tl 3.16, 8 Mg 3.27
Mg (0.0000, 0.5000, 0.5000)  4 Mg 3.16, 4 Tl 3.27, 4 Y 3.27
Mg (0.5000, 0.0000, 0.5000)  4 Mg 3.16, 4 Tl 3.27, 4 Y 3.27
Tl (0.5000, 0.5000, 0.0000)  4 Y 3.16, 8 Mg 3.27

Summary:
density	5.9	Mg/m³
V	96	Å³/cell
energy relative to the elements	-370	meV/atom
DFT total energy	-111.63	eV/cell
polymorph energy (0 for the lowest one)	0.0	meV per atom
total moment	0.00	μB/cell
D(E_F)	0.51	states/eV per atom
symmetry	No. 123

=====

No. 3
The following is a SCAN calculation of a crystal of Y2MgTl relaxed with PBEsol, from the Alexandria database.

a b c (Å): 4.8988 4.8988 4.2974
angles (deg): 90.00 90.00 90.00
Closest atoms and distances in Å follow each position.
Sites, in units of the cell vectors:
Y (0.0000, 0.5000, 0.0000)  4 Tl 3.26, 4 Mg 3.26, 4 Y 3.46
Y (0.5000, 0.0000, 0.0000)  4 Tl 3.26, 4 Mg 3.26, 4 Y 3.46
Mg (0.0000, 0.0000, 0.5000)  8 Y 3.26, 4 Tl 3.46
Tl (0.5000, 0.5000, 0.5000)  8 Y 3.26, 4 Mg 3.46

Summary:
density	6.5	Mg/m³
V	103	Å³/cell
energy relative to the elements	-427	meV/atom
DFT total energy	-134.72	eV/cell
total moment	0.41	μB/cell
D(E_F)	0.60	states/eV per atom
symmetry	No. 123